Crystalline Ce2Al4Cu3Au at its relaxed geometry, computed with PBE.

a = 4.2592 Å, b = 4.2592 Å, c = 10.2300 Å
α = 90.00°, β = 90.00°, γ = 90.00°
With the nearest neighbours (Å) after each atom.
Space group P-4m2 (No. 115)
Symmetry-distinct sites (fractional):
Ce: 0.0000 0.5000 0.2474  8 Al 3.23-3.31, 6 Cu 3.25-3.35, 2 Au 3.35
Al: 0.0000 0.0000 0.0000  4 Cu 2.49
Al: 0.0000 0.5000 0.6379  3 Cu 2.41-2.55, 2 Au 2.55
Al: 0.5000 0.5000 0.0000  4 Cu 2.49
Cu: 0.0000 0.5000 0.8732  5 Al 2.41-2.49
Cu: 0.5000 0.5000 0.5000  4 Al 2.55
Au: 0.0000 0.0000 0.5000  4 Al 2.55

Its calculated formation energy is -0.434 eV per atom. The value obtained for the total DFT energy (no corrections) is -4.674 eV per atom.

Crystalline NpMn4Os at its relaxed geometry, computed with PBE.

a = 6.8706 Å, b = 6.8706 Å, c = 6.8706 Å
α = 90.00°, β = 90.00°, γ = 90.00°
With the nearest neighbours (Å) after each atom.
Space group F-43m (No. 216)
Symmetry-distinct sites (fractional):
Np: 0.0000 0.0000 0.0000  12 Mn 2.85, 4 Os 2.98
Mn: 0.1239 0.1239 0.3761  6 Mn 2.41-2.45
Os: 0.2500 0.2500 0.7500  12 Mn 2.85, 4 Np 2.98

Its calculated formation energy is 0.263 eV per atom. The value obtained for the total DFT energy (no corrections) is -9.878 eV per atom.

Crystalline CaOsCl2 at its relaxed geometry, computed with PBE.

a = 3.8089 Å, b = 3.8089 Å, c = 23.6111 Å
α = 90.00°, β = 90.00°, γ = 120.00°
With the nearest neighbours (Å) after each atom.
Space group R-3m (No. 166, hexagonal axes)
Symmetry-distinct sites (fractional):
Ca: 0.0000 0.0000 0.0000  2 Cl 2.85
Os: 0.0000 0.0000 0.5000  6 Cl 2.45
Cl: 0.0000 0.0000 0.1205  3 Os 2.45

The energy above the most stable polymorph in this dataset comes out at 653 meV/atom. The value obtained for the total DFT energy (no corrections) is -3.989 eV per atom. For the formation energy without anion corrections, the calculation gives 0.97 eV per formula unit.

Crystalline Tb6Pr12Dy at its relaxed geometry, computed with PBE.

a = 12.2642 Å, b = 12.2642 Å, c = 15.4391 Å
α = 90.00°, β = 90.00°, γ = 120.00°
With the nearest neighbours (Å) after each atom.
Space group R-3 (No. 148, hexagonal axes)
Symmetry-distinct sites (fractional):
Tb: 0.0165 0.4280 0.1870  7 Pr 3.41-3.76, 1 Dy 3.52, 2 Tb 3.56
Pr: 0.0020 0.8287 0.6913  4 Pr 3.51-3.67, 4 Tb 3.57-3.76, 1 Dy 3.63
Pr: 0.0474 0.8493 0.9164  4 Pr 3.39-3.67, 3 Tb 3.41-3.55
Dy: 0.0000 0.0000 0.5000  6 Tb 3.52, 6 Pr 3.63

The energy above the most stable polymorph in this dataset comes out at 0 meV/atom. Its calculated formation energy is 0.128 eV per atom. The value obtained for the total DFT energy (no corrections) is -4.595 eV per atom.

Crystalline NdErMgCo at its relaxed geometry, computed with PBE.

a = 7.1921 Å, b = 7.1921 Å, c = 7.1921 Å
α = 90.00°, β = 90.00°, γ = 90.00°
With the nearest neighbours (Å) after each atom.
Space group F-43m (No. 216)
Symmetry-distinct sites (fractional):
Nd: 0.0000 0.0000 0.0000  4 Co 3.11, 4 Mg 3.11
Er: 0.0000 0.0000 0.5000  4 Co 3.11, 4 Mg 3.11
Mg: 0.2500 0.2500 0.2500  4 Er 3.11, 4 Nd 3.11
Co: 0.2500 0.2500 0.7500  4 Er 3.11, 4 Nd 3.11

Its calculated formation energy is 0.033 eV per atom. The value obtained for the total DFT energy (no corrections) is -4.475 eV per atom.

Crystalline La2GaSnI at its relaxed geometry, computed with PBE.

a = 5.9888 Å, b = 5.9888 Å, c = 5.5098 Å
α = 90.00°, β = 90.00°, γ = 90.00°
With the nearest neighbours (Å) after each atom.
Space group P4/mmm (No. 123)
Symmetry-distinct sites (fractional):
La: 0.0000 0.5000 0.0000  2 I 2.99
Ga: 0.0000 0.0000 0.5000  2 I 2.75
Sn: 0.5000 0.5000 0.5000  8 La 4.07, 4 Ga 4.23
I: 0.0000 0.0000 0.0000  2 Ga 2.75, 4 La 2.99

The value obtained for the total DFT energy (no corrections) is -3.628 eV per atom. For the formation energy without anion corrections, the calculation gives 0.29 eV per formula unit.

Crystalline Hf8AlPb2 at its relaxed geometry, computed with PBE.

a = 16.0292 Å, b = 4.3198 Å, c = 7.4170 Å
α = 90.00°, β = 108.78°, γ = 90.00°
With the nearest neighbours (Å) after each atom.
Space group C2/m (No. 12)
Symmetry-distinct sites (fractional):
Hf: 0.0443 0.0000 0.2527  8 Hf 3.01-3.36, 2 Al 3.06, 1 Pb 3.14
Hf: 0.0838 0.5000 0.9436  7 Hf 3.01-3.36, 2 Pb 3.10, 1 Al 3.13
Hf: 0.1323 0.0000 0.6840  6 Hf 3.02-3.15, 2 Al 3.03, 3 Pb 3.15-3.28
Hf: 0.1777 0.5000 0.4227  6 Hf 3.02-3.14, 3 Pb 3.07-3.18, 1 Al 3.08
Al: 0.0000 0.5000 0.5000  12 Hf 3.03-3.13
Pb: 0.2195 0.0000 0.1498  9 Hf 3.07-3.28

Its calculated formation energy is -0.080 eV per atom. The value obtained for the total DFT energy (no corrections) is -8.334 eV per atom.

Crystalline LiBeIn at its relaxed geometry, computed with PBE.

a = 5.9648 Å, b = 5.9648 Å, c = 5.9648 Å
α = 90.00°, β = 90.00°, γ = 90.00°
With the nearest neighbours (Å) after each atom.
Space group F-43m (No. 216)
Symmetry-distinct sites (fractional):
Li: 0.0000 0.0000 0.0000  4 Be 2.58
Be: 0.2500 0.2500 0.2500  4 In 2.58, 4 Li 2.58
In: 0.0000 0.0000 0.5000  4 Be 2.58

The energy above the most stable polymorph in this dataset comes out at 172 meV/atom. Its calculated formation energy is 0.204 eV per atom. The value obtained for the total DFT energy (no corrections) is -2.589 eV per atom.

Crystalline Cr2Ru2Rh at its relaxed geometry, computed with PBE.

a = 7.0429 Å, b = 7.0429 Å, c = 2.7457 Å
α = 90.00°, β = 90.00°, γ = 90.00°
With the nearest neighbours (Å) after each atom.
Space group P4/mbm (No. 127)
Symmetry-distinct sites (fractional):
Cr: 0.1667 0.3333 0.0000  6 Ru 2.42-2.53
Ru: 0.1331 0.6331 0.5000  6 Cr 2.42-2.53, 1 Ru 2.65
Rh: 0.0000 0.0000 0.5000  2 Rh 2.75, 4 Ru 2.75, 8 Cr 2.96

The energy above the most stable polymorph in this dataset comes out at 26 meV/atom. Its calculated formation energy is 0.175 eV per atom. The value obtained for the total DFT energy (no corrections) is -8.855 eV per atom.

Crystalline Nd3InGe at its relaxed geometry, computed with PBE.

a = 5.8470 Å, b = 6.9776 Å, c = 9.1993 Å
α = 111.45°, β = 90.29°, γ = 114.47°
With the nearest neighbours (Å) after each atom.
Space group P-1 (No. 2)
Symmetry-distinct sites (fractional):
Nd: 0.1211 0.2384 0.4081  3 Ge 2.93-2.94
Nd: 0.3408 0.6864 0.8653  1 Ge 2.93
Nd: 0.3788 0.7557 0.2536  2 Ge 2.89-2.94
In: 0.1038 0.2045 0.9486  1 In 3.10, 4 Nd 3.32-3.44
Ge: 0.3695 0.7435 0.5648  6 Nd 2.89-2.94

The energy above the most stable polymorph in this dataset comes out at 62 meV/atom. Its calculated formation energy is -0.455 eV per atom. The value obtained for the total DFT energy (no corrections) is -4.786 eV per atom.

Crystalline Er3Tm8Sc4 at its relaxed geometry, computed with PBE.

a = 13.0357 Å, b = 11.7229 Å, c = 6.5463 Å
α = 90.00°, β = 116.71°, γ = 90.00°
With the nearest neighbours (Å) after each atom.
Space group C2/m (No. 12)
Symmetry-distinct sites (fractional):
Er: 0.0000 0.0000 0.0000  4 Tm 3.05-3.06
Er: 0.2500 0.2500 0.5000  2 Sc 3.27, 8 Tm 3.30-3.54
Tm: 0.0000 0.2021 0.5000  2 Er 3.31, 4 Tm 3.34, 3 Sc 3.47-3.49
Tm: 0.0000 0.2603 0.0000  1 Sc 2.81, 1 Er 3.05
Tm: 0.2024 0.0000 0.6721  4 Tm 3.23-3.46, 2 Er 3.30, 3 Sc 3.49-3.52
Tm: 0.2373 0.5000 0.7917  1 Sc 2.81, 1 Er 3.06
Sc: 0.0000 0.5000 0.0000  2 Tm 2.81
Sc: 0.0000 0.5000 0.5000  2 Tm 2.81
Sc: 0.2500 0.2500 0.0000  8 Tm 3.21-3.52, 2 Er 3.27

Its calculated formation energy is 0.400 eV per atom. The value obtained for the total DFT energy (no corrections) is -4.585 eV per atom.

Crystalline Pr2Mn2Te2Se3 at its relaxed geometry, computed with PBE.

a = 4.9632 Å, b = 4.9632 Å, c = 19.8195 Å
α = 90.00°, β = 90.00°, γ = 90.00°
With the nearest neighbours (Å) after each atom.
Space group I4/mmm (No. 139)
Symmetry-distinct sites (fractional):
Pr: 0.0000 0.0000 0.1701  4 Se 2.94
Mn: 0.0000 0.5000 0.0000  2 Se 2.48
Te: 0.0000 0.0000 0.4045  4 Mn 3.12
Se: 0.0000 0.0000 0.0000  4 Mn 2.48
Se: 0.0000 0.5000 0.2500  4 Pr 2.94

The value obtained for the total DFT energy (no corrections) is -5.856 eV per atom. For the formation energy without anion corrections, the calculation gives -8.07 eV per formula unit.

Crystalline Pr2InRh2 at its relaxed geometry, computed with PBE.

a = 10.4173 Å, b = 5.7179 Å, c = 8.1942 Å
α = 90.00°, β = 106.06°, γ = 90.00°
With the nearest neighbours (Å) after each atom.
Space group C2/c (No. 15)
Symmetry-distinct sites (fractional):
Pr: 0.1458 0.1565 0.1493  6 Rh 3.01-3.34
In: 0.0000 0.3453 0.7500  4 Rh 2.77-2.78
Rh: 0.1394 0.3579 0.5070  1 Rh 2.64, 2 In 2.77-2.78

Its calculated formation energy is -0.677 eV per atom. The value obtained for the total DFT energy (no corrections) is -6.077 eV per atom.

Crystalline HoCd2Ag9 at its relaxed geometry, computed with PBE.

a = 5.5747 Å, b = 5.5747 Å, c = 27.2684 Å
α = 90.00°, β = 90.00°, γ = 120.00°
With the nearest neighbours (Å) after each atom.
Space group R-3m (No. 166, hexagonal axes)
Symmetry-distinct sites (fractional):
Ho: 0.0000 0.0000 0.0000  6 Ag 3.22
Cd: 0.0000 0.0000 0.1428  12 Ag 3.20-3.28, 3 Cd 3.47
Ag: 0.0000 0.0000 0.3336  6 Ag 2.82-2.83
Ag: 0.0000 0.0000 0.5000  6 Ag 2.75
Ag: 0.0038 0.5019 0.9148  7 Ag 2.75-2.83

Its calculated formation energy is -0.016 eV per atom. The value obtained for the total DFT energy (no corrections) is -2.688 eV per atom.

Crystalline K3DyNp3Te8 at its relaxed geometry, computed with PBE.

a = 15.5875 Å, b = 9.0075 Å, c = 9.8118 Å
α = 90.00°, β = 121.83°, γ = 90.00°
With the nearest neighbours (Å) after each atom.
Space group C2/m (No. 12)
Symmetry-distinct sites (fractional):
K: 0.0000 0.0000 0.0000  6 Te 3.55-3.57
K: 0.2500 0.2500 0.0000  6 Te 3.55-3.58
Dy: 0.0000 0.0000 0.5000  6 Te 3.11-3.12
Np: 0.0000 0.5000 0.5000  6 Te 3.12-3.14
Np: 0.2500 0.2500 0.5000  6 Te 3.11-3.13
Te: 0.0142 0.2499 0.2933  1 Dy 3.11, 2 Np 3.12
Te: 0.2354 0.0000 0.7054  2 Np 3.11, 1 Dy 3.12
Te: 0.2369 0.5000 0.7100  3 Np 3.13-3.14

The value obtained for the total DFT energy (no corrections) is -5.747 eV per atom. For the formation energy without anion corrections, the calculation gives -14.36 eV per formula unit.

Crystalline BaSi4Ni4 at its relaxed geometry, computed with PBE.

a = 8.2250 Å, b = 8.2250 Å, c = 4.1380 Å
α = 90.00°, β = 90.00°, γ = 90.00°
With the nearest neighbours (Å) after each atom.
Space group I4/m (No. 87)
Symmetry-distinct sites (fractional):
Ba: 0.0000 0.0000 0.0000  12 Si 3.27-3.42, 4 Ni 3.48
Si: 0.1637 0.2879 0.5000  4 Ni 2.25-2.31
Ni: 0.0975 0.6290 0.5000  4 Si 2.25-2.31

The value obtained for the total DFT energy (no corrections) is -5.659 eV per atom. For the formation energy without anion corrections, the calculation gives -4.19 eV per formula unit.

Crystalline PaCo7C2 at its relaxed geometry, computed with PBE.

a = 6.2397 Å, b = 9.8492 Å, c = 3.7874 Å
α = 90.00°, β = 90.00°, γ = 90.00°
With the nearest neighbours (Å) after each atom.
Space group Cmmm (No. 65)
Symmetry-distinct sites (fractional):
Pa: 0.0000 0.0000 0.0000  8 Co 2.62
Co: 0.0000 0.3249 0.0000  2 C 1.91
Co: 0.0000 0.5000 0.5000  2 C 1.99
Co: 0.1926 0.1381 0.5000  2 C 1.98-2.02
C: 0.0000 0.2980 0.5000  7 Co 1.91-2.02

Its calculated formation energy is 0.132 eV per atom. The value obtained for the total DFT energy (no corrections) is -7.636 eV per atom.

Crystalline SrAsPdPt at its relaxed geometry, computed with PBE.

a = 4.2726 Å, b = 4.4928 Å, c = 9.6886 Å
α = 90.00°, β = 90.00°, γ = 90.00°
With the nearest neighbours (Å) after each atom.
Space group Imm2 (No. 44)
Symmetry-distinct sites (fractional):
Sr: 0.0000 0.0000 0.0000  4 As 3.24-3.30, 5 Pt 3.35-3.57, 5 Pd 3.41-3.42
As: 0.0000 0.5000 0.2491  2 Pt 2.42, 2 Pd 2.46
Pd: 0.0000 0.0000 0.3518  2 As 2.46, 1 Pt 2.71
Pt: 0.0000 0.0000 0.6317  2 As 2.42

Its calculated formation energy is -0.717 eV per atom. The value obtained for the total DFT energy (no corrections) is -5.109 eV per atom.

Crystalline GaPW2 at its relaxed geometry, computed with PBE.

a = 3.8099 Å, b = 3.8099 Å, c = 18.0424 Å
α = 90.00°, β = 90.00°, γ = 90.00°
With the nearest neighbours (Å) after each atom.
Space group I-42d (No. 122)
Symmetry-distinct sites (fractional):
Ga: 0.0000 0.0000 0.0000  4 W 2.64, 4 P 2.69
P: 0.0000 0.0000 0.5000  4 W 2.62, 4 Ga 2.69
W: 0.2438 0.2500 0.6250  2 P 2.62, 2 Ga 2.64, 4 W 2.66-2.73

The energy above the most stable polymorph in this dataset comes out at 180 meV/atom. Its calculated formation energy is 0.452 eV per atom. The value obtained for the total DFT energy (no corrections) is -8.134 eV per atom.

Crystalline NaPPdRh2 at its relaxed geometry, computed with PBE.

a = 4.3273 Å, b = 4.3273 Å, c = 4.9453 Å
α = 90.00°, β = 90.00°, γ = 90.00°
With the nearest neighbours (Å) after each atom.
Space group P4/mmm (No. 123)
Symmetry-distinct sites (fractional):
Na: 0.0000 0.0000 0.0000  2 P 2.47
P: 0.0000 0.0000 0.5000  4 Rh 2.16
Pd: 0.5000 0.5000 0.0000  4 Na 3.06, 8 Rh 3.29
Rh: 0.0000 0.5000 0.5000  2 P 2.16

Its calculated formation energy is 0.165 eV per atom. The value obtained for the total DFT energy (no corrections) is -5.160 eV per atom.

Crystalline Nd2ZrUN4 at its relaxed geometry, computed with PBE.

a = 5.9287 Å, b = 3.4716 Å, c = 6.1039 Å
α = 90.00°, β = 108.70°, γ = 90.00°
With the nearest neighbours (Å) after each atom.
Space group P2/m (No. 10)
Symmetry-distinct sites (fractional):
Nd: 0.0000 0.0000 0.0000  6 N 2.62-2.64
Nd: 0.5000 0.5000 0.0000  6 N 2.59-2.60
Zr: 0.0000 0.5000 0.5000  6 N 2.32-2.35
U: 0.5000 0.0000 0.5000  6 N 2.27-2.33
N: 0.2441 0.0000 0.7071  1 U 2.27, 2 Zr 2.35
N: 0.2662 0.5000 0.2928  1 Zr 2.32, 2 U 2.33, 1 Nd 2.59

The value obtained for the total DFT energy (no corrections) is -9.340 eV per atom. For the formation energy without anion corrections, the calculation gives -12.05 eV per formula unit.

Crystalline Cs2BeAuI6 at its relaxed geometry, computed with PBE.

a = 8.7592 Å, b = 8.7592 Å, c = 11.6295 Å
α = 90.00°, β = 90.00°, γ = 90.00°
With the nearest neighbours (Å) after each atom.
Space group I4/mmm (No. 139)
Symmetry-distinct sites (fractional):
Cs: 0.0000 0.5000 0.2500  12 I 4.26-4.43
Be: 0.0000 0.0000 0.0000  2 I 2.23
Au: 0.0000 0.0000 0.5000  4 I 2.78
I: 0.0000 0.0000 0.1922  1 Be 2.23
I: 0.2248 0.2248 0.5000  1 Au 2.78

The value obtained for the total DFT energy (no corrections) is -2.508 eV per atom. For the formation energy without anion corrections, the calculation gives -7.07 eV per formula unit.

Crystalline CeErZnPd at its relaxed geometry, computed with PBE.

a = 7.1237 Å, b = 7.1237 Å, c = 7.1237 Å
α = 90.00°, β = 90.00°, γ = 90.00°
With the nearest neighbours (Å) after each atom.
Space group F-43m (No. 216)
Symmetry-distinct sites (fractional):
Ce: 0.0000 0.0000 0.0000  4 Pd 3.08, 4 Zn 3.08
Er: 0.0000 0.0000 0.5000  4 Pd 3.08, 4 Zn 3.08
Zn: 0.2500 0.2500 0.2500  4 Ce 3.08, 4 Er 3.08
Pd: 0.2500 0.2500 0.7500  4 Ce 3.08, 4 Er 3.08

Its calculated formation energy is -0.486 eV per atom. The value obtained for the total DFT energy (no corrections) is -4.727 eV per atom.